DFT (PBE) results for a relaxed structure of MnVSi4.

Lattice parameters (Å, degrees): 3.096 4.375 6.217 110.83 90.00 110.72
Each line ends with the local moment (μB).
Fractional positions:
Si: 0.835 0.170 0.170  0.00
Si: 0.837 0.174 0.667  0.00
Si: 0.163 0.826 0.333  0.00
Si: 0.165 0.830 0.830  0.00
V: 0.500 0.500 0.000  -0.03
Mn: 0.500 0.500 0.500  0.14

Summary:
The formation energy from raw total energies is -0.400 eV per atom. The density is 4.97 Mg/m³. The space group is C2/m (12).